[1]
Material: Cs3Tb2TmS6
Method: DFT, GGA-PBE
State: optimized geometry Values from VASP.

Geometry as Quantum ESPRESSO input:
```
&SYSTEM
  ibrav = 0, nat = 12, ntyp = 4
/
ATOMIC_SPECIES
Cs 132.91 Cs.upf
Tb 158.93 Tb.upf
Tm 168.93 Tm.upf
S 32.06 S.upf
CELL_PARAMETERS angstrom
3.552 -6.152 0.000
3.552 6.152 0.000
-2.368 0.000 8.064
ATOMIC_POSITIONS angstrom
Cs 0.000 0.000 0.000
Cs 3.552 2.060 0.000
Cs 3.552 -2.060 0.000
Tb 2.368 4.102 4.032
Tb 2.368 -4.102 4.032
Tm 2.368 0.000 4.032
S 1.199 2.024 2.572
S 0.031 0.000 5.496
S 1.199 -2.024 2.572
S 3.536 2.024 5.492
S 4.705 0.000 2.569
S 3.536 -2.024 5.492
```

Summary:
Formation energy from raw total energies = -1.83 eV/atom
Raw total energy = -5.252 eV per atom
Magnetization = 0.0 μB/f.u.
Calculated volume = 352.4 Å³ per cell

=====

[2]
Material: Cs2TbU2S6
Method: DFT, GGA-PBE
State: optimized geometry Values from VASP.

Geometry as Quantum ESPRESSO input:
```
&SYSTEM
  ibrav = 0, nat = 11, ntyp = 4
/
ATOMIC_SPECIES
Cs 132.91 Cs.upf
Tb 158.93 Tb.upf
U 238.03 U.upf
S 32.06 S.upf
CELL_PARAMETERS angstrom
3.507 -6.080 0.000
3.507 6.080 0.000
-2.290 0.000 8.269
ATOMIC_POSITIONS angstrom
Cs 3.507 4.070 0.000
Cs 3.507 -4.070 0.000
Tb -1.145 0.000 4.134
U 2.362 2.017 4.134
U 2.362 -2.017 4.134
S 0.032 2.057 5.595
S 1.207 0.000 2.669
S 0.032 -2.057 5.595
S 4.692 2.057 2.674
S 3.516 0.000 5.600
S 4.692 -2.057 2.674
```

Summary:
Formation energy from raw total energies = -1.58 eV/atom
Raw total energy = -6.464 eV per atom
Magnetization = 5.0 μB/f.u.
Calculated volume = 352.6 Å³ per cell

=====

[3]
Material: Cs4TbU3S8
Method: DFT, GGA-PBE
State: optimized geometry Values from VASP.

Geometry as Quantum ESPRESSO input:
```
&SYSTEM
  ibrav = 0, nat = 16, ntyp = 4
/
ATOMIC_SPECIES
Cs 132.91 Cs.upf
Tb 158.93 Tb.upf
U 238.03 U.upf
S 32.06 S.upf
CELL_PARAMETERS angstrom
4.106 2.371 8.111
-4.106 2.371 8.111
0.000 -4.742 8.111
ATOMIC_POSITIONS angstrom
Cs 0.000 0.000 0.000
Cs -2.053 -1.185 8.111
Cs -2.053 1.185 16.222
Cs 0.000 2.371 8.111
Tb 0.000 0.000 12.167
U -4.106 0.000 12.167
U -2.053 1.185 4.056
U 2.053 1.185 4.056
S 0.000 0.000 5.527
S -2.057 -1.188 13.648
S 0.000 -2.375 10.685
S -2.057 1.188 10.685
S 2.057 -1.188 13.648
S 0.000 2.375 13.648
S 2.057 1.188 10.685
S 0.000 0.000 18.807
```

Summary:
Formation energy from raw total energies = -1.45 eV/atom
Raw total energy = -6.135 eV per atom
Magnetization = 9.0 μB/f.u.
Calculated volume = 473.8 Å³ per cell

=====

[4]
Material: Cs4Tb3US8
Method: DFT, GGA-PBE
State: optimized geometry Values from VASP.

Geometry as Quantum ESPRESSO input:
```
&SYSTEM
  ibrav = 0, nat = 16, ntyp = 4
/
ATOMIC_SPECIES
Cs 132.91 Cs.upf
Tb 158.93 Tb.upf
U 238.03 U.upf
S 32.06 S.upf
CELL_PARAMETERS angstrom
4.127 2.383 8.075
-4.127 2.383 8.075
0.000 -4.765 8.075
ATOMIC_POSITIONS angstrom
Cs 0.000 0.000 0.000
Cs -2.063 -1.191 8.075
Cs -2.063 1.191 16.149
Cs 0.000 2.382 8.075
Tb -4.127 0.000 12.112
Tb -2.063 1.191 4.037
Tb 2.063 1.191 4.037
U 0.000 0.000 12.112
S 0.000 0.000 5.508
S -2.059 -1.189 13.582
S 0.000 -2.377 10.642
S -2.059 1.189 10.642
S 2.059 -1.189 13.582
S 0.000 2.377 13.582
S 2.059 1.189 10.642
S 0.000 0.000 18.716
```

Summary:
Formation energy from raw total energies = -1.70 eV/atom
Raw total energy = -5.546 eV per atom
Magnetization = 3.0 μB/f.u.
Calculated volume = 476.3 Å³ per cell

=====

[5]
Material: CsTbUS4
Method: DFT, GGA-PBE
State: optimized geometry Values from VASP.

Geometry as Quantum ESPRESSO input:
```
&SYSTEM
  ibrav = 0, nat = 14, ntyp = 4
/
ATOMIC_SPECIES
Cs 132.91 Cs.upf
Tb 158.93 Tb.upf
U 238.03 U.upf
S 32.06 S.upf
CELL_PARAMETERS angstrom
-4.293 4.374 5.965
4.293 -4.374 5.965
4.293 4.374 -5.965
ATOMIC_POSITIONS angstrom
Cs 0.000 2.187 1.541
Cs 4.293 2.187 4.424
Tb 4.293 0.000 0.000
Tb 0.000 0.000 5.965
U 2.146 2.187 -2.982
U 2.146 -2.187 2.982
S 4.293 -0.491 2.763
S 4.293 3.883 -2.763
S 2.555 2.187 -0.301
S 6.031 2.187 -0.301
S -1.738 2.187 6.266
S 1.738 2.187 6.266
S 0.000 0.491 8.728
S 0.000 4.866 3.202
```

Summary:
Formation energy from raw total energies = -1.54 eV/atom
Raw total energy = -6.294 eV per atom
Magnetization = 2.0 μB/f.u.
Calculated volume = 448.0 Å³ per cell

=====

[6]
Material: Cs2TbUS6
Method: DFT, GGA-PBE
State: optimized geometry Values from VASP.

Geometry as Quantum ESPRESSO input:
```
&SYSTEM
  ibrav = 0, nat = 10, ntyp = 4
/
ATOMIC_SPECIES
Cs 132.91 Cs.upf
Tb 158.93 Tb.upf
U 238.03 U.upf
S 32.06 S.upf
CELL_PARAMETERS angstrom
0.000 5.297 5.297
5.297 0.000 5.297
5.297 5.297 0.000
ATOMIC_POSITIONS angstrom
Cs 2.648 2.648 2.648
Cs 7.945 7.945 7.945
Tb 0.000 0.000 0.000
U 5.297 5.297 5.297
S 5.297 5.297 2.743
S 5.297 2.743 5.297
S 7.850 5.297 5.297
S 2.743 5.297 5.297
S 5.297 7.850 5.297
S 5.297 5.297 7.850
```

Summary:
Formation energy from raw total energies = -1.36 eV/atom
Raw total energy = -5.603 eV per atom
Magnetization = 0.0 μB/f.u.
Calculated volume = 297.2 Å³ per cell